Run one
Computed, not measured: a geometry-optimized Th4FeGe structure at the GGA-PBE level of DFT.

Output
- space-group type = I4_1md
- M_tot (μB per formula unit) = 0.00

Cell lengths 7.866, 7.866, 7.866 Å; angles 108.34, 108.34, 111.77 degrees
Fractional positions:
Th1 0.134 0.449 0.686
Th2 0.199 0.013 0.814
Th3 0.199 0.384 0.186
Th4 0.304 0.000 0.304
Th5 0.696 0.000 0.696
Th6 0.750 0.554 0.804
Th7 0.750 0.946 0.196
Th8 0.763 0.449 0.314
Fe1 0.710 0.210 0.500
Fe2 0.960 0.960 0.000
Ge1 0.232 0.732 0.500
Ge2 0.482 0.482 0.000

---

Run two
Computed, not measured: a geometry-optimized Th4FeGe structure at the GGA-PBE level of DFT.

Output
- space-group type = P2_1/m
- M_tot (μB per formula unit) = 0.00

Cell lengths 6.127, 6.688, 8.395 Å; angles 90.00, 110.14, 90.00 degrees
Fractional positions:
Th1 0.029 0.007 0.227
Th2 0.029 0.493 0.227
Th3 0.398 0.250 0.622
Th4 0.443 0.250 0.079
Th5 0.557 0.750 0.921
Th6 0.602 0.750 0.378
Th7 0.971 0.507 0.773
Th8 0.971 0.993 0.773
Fe1 0.248 0.750 0.070
Fe2 0.752 0.250 0.930
Ge1 0.219 0.750 0.554
Ge2 0.781 0.250 0.446

---

Most stable = run two

---

Run one
Computed, not measured: a geometry-optimized Th2FeGe structure at the GGA-PBE level of DFT.

Output
- space-group type = R-3m
- M_tot (μB per formula unit) = 1.30

Cell lengths 10.207, 10.207, 10.207 Å; angles 18.79, 18.79, 18.79 degrees
Fractional positions:
Th1 0.082 0.082 0.082
Th2 0.918 0.918 0.918
Fe1 0.000 0.000 0.000
Ge1 0.500 0.500 0.500

---

Run two
Computed, not measured: a geometry-optimized Th2FeGe structure at the GGA-PBE level of DFT.

Output
- space-group type = P2_1/m
- M_tot (μB per formula unit) = 0.00

Cell lengths 5.995, 3.905, 8.458 Å; angles 90.00, 109.91, 90.00 degrees
Fractional positions:
Th1 0.188 0.250 0.401
Th2 0.270 0.750 0.050
Th3 0.730 0.250 0.950
Th4 0.812 0.750 0.599
Fe1 0.124 0.250 0.795
Fe2 0.876 0.750 0.205
Ge1 0.350 0.750 0.707
Ge2 0.650 0.250 0.293

---

Most stable = run two

---

Run one
Computed, not measured: a geometry-optimized TiFe3Ge structure at the GGA-PBE level of DFT.

Output
- space-group type = Pm-3m
- M_tot (μB per formula unit) = 5.57

Cell lengths 4.366, 4.366, 4.366 Å; angles 90.00, 90.00, 90.00 degrees
Fractional positions:
Ti1 0.000 0.000 0.000
Fe1 0.000 0.000 0.500
Fe2 0.000 0.500 0.000
Fe3 0.500 0.000 0.000
Ge1 0.500 0.500 0.500

---

Run two
Computed, not measured: a geometry-optimized TiFe3Ge structure at the GGA-PBE level of DFT.

Output
- space-group type = Pm-3m
- M_tot (μB per formula unit) = 2.13

Cell lengths 4.210, 4.210, 4.210 Å; angles 90.00, 90.00, 90.00 degrees
Fractional positions:
Ti1 0.000 0.000 0.000
Fe1 0.000 0.500 0.500
Fe2 0.500 0.000 0.500
Fe3 0.500 0.500 0.000
Ge1 0.500 0.500 0.500

---

Most stable = run two

---

Run one
Computed, not measured: a geometry-optimized Tl3FeGe structure at the GGA-PBE level of DFT.

Output
- space-group type = Pm-3m
- M_tot (μB per formula unit) = 3.19

Cell lengths 5.521, 5.521, 5.521 Å; angles 90.00, 90.00, 90.00 degrees
Fractional positions:
Tl1 0.000 0.000 0.500
Tl2 0.000 0.500 0.000
Tl3 0.500 0.000 0.000
Fe1 0.500 0.500 0.500
Ge1 0.000 0.000 0.000

---

Run two
Computed, not measured: a geometry-optimized Tl3FeGe structure at the GGA-PBE level of DFT.

Output
- space-group type = Pm-3m
- M_tot (μB per formula unit) = 2.86

Cell lengths 5.163, 5.163, 5.163 Å; angles 90.00, 90.00, 90.00 degrees
Fractional positions:
Tl1 0.000 0.000 0.500
Tl2 0.000 0.500 0.000
Tl3 0.500 0.000 0.000
Fe1 0.000 0.000 0.000
Ge1 0.500 0.500 0.500

---

Most stable = run two

---

Run one
Computed, not measured: a geometry-optimized TlFe2Ge2 structure at the GGA-PBE level of DFT.

Output
- space-group type = I4/mmm
- M_tot (μB per formula unit) = 0.53

Cell lengths 6.322, 6.322, 6.322 Å; angles 146.12, 146.12, 48.67 degrees
Fractional positions:
Tl1 0.000 0.000 0.000
Fe1 0.390 0.390 0.000
Fe2 0.610 0.610 0.000
Ge1 0.250 0.750 0.500
Ge2 0.750 0.250 0.500

---

Run two
Computed, not measured: a geometry-optimized TlFe2Ge2 structure at the GGA-PBE level of DFT.

Output
- space-group type = P4/mbm
- M_tot (μB per formula unit) = 1.74

Cell lengths 7.051, 7.051, 3.028 Å; angles 90.00, 90.00, 90.00 degrees
Fractional positions:
Tl1 0.000 0.000 0.000
Tl2 0.500 0.500 0.000
Fe1 0.145 0.355 0.000
Fe2 0.355 0.855 0.000
Fe3 0.645 0.145 0.000
Fe4 0.855 0.645 0.000
Ge1 0.142 0.642 0.500
Ge2 0.358 0.142 0.500
Ge3 0.642 0.858 0.500
Ge4 0.858 0.358 0.500

---

Most stable = run one

---

Run one
Computed, not measured: a geometry-optimized TmFe3Ge3 structure at the GGA-PBE level of DFT.

Output
- space-group type = Fm-3m
- M_tot (μB per formula unit) = 5.11

Cell lengths 8.004, 8.004, 8.004 Å; angles 60.00, 60.00, 60.00 degrees
Fractional positions:
Tm1 0.250 0.250 0.250
Tm2 0.750 0.750 0.750
Fe1 0.142 0.142 0.858
Fe2 0.142 0.858 0.142
Fe3 0.142 0.858 0.858
Fe4 0.858 0.142 0.142
Fe5 0.858 0.142 0.858
Fe6 0.858 0.858 0.142
Ge1 0.339 0.339 0.661
Ge2 0.339 0.661 0.339
Ge3 0.339 0.661 0.661
Ge4 0.661 0.339 0.339
Ge5 0.661 0.339 0.661
Ge6 0.661 0.661 0.339

---

Run two
Computed, not measured: a geometry-optimized TmFe3Ge3 structure at the GGA-PBE level of DFT.

Output
- space-group type = Pm-3n
- M_tot (μB per formula unit) = 5.05

Cell lengths 6.450, 6.450, 6.450 Å; angles 90.00, 90.00, 90.00 degrees
Fractional positions:
Tm1 0.000 0.000 0.000
Tm2 0.500 0.500 0.500
Fe1 0.000 0.250 0.500
Fe2 0.000 0.750 0.500
Fe3 0.250 0.500 0.000
Fe4 0.500 0.000 0.250
Fe5 0.500 0.000 0.750
Fe6 0.750 0.500 0.000
Ge1 0.000 0.500 0.250
Ge2 0.000 0.500 0.750
Ge3 0.250 0.000 0.500
Ge4 0.500 0.250 0.000
Ge5 0.500 0.750 0.000
Ge6 0.750 0.000 0.500

---

Most stable = run two